1.
Compound: Pm2ErPb9
Source: the Alexandria database
Functional: PBE
Structure: relaxed

**Volume**: 29.4 A^3/atom
**Total magnetization**: 0.0000 μB/atom
**Space group**: P4/mmm
**Formation enthalpy at 0 K**: -0.320 eV per atom
**N(E_F)**: 0.51 states/eV per atom

a b c (Å): 4.904 4.904 14.687
angles (deg): 90.00 90.00 90.00
Element x y z (fractional)
Pm1 0.000 0.000 0.333
Pm2 0.000 0.000 0.667
Er1 0.000 0.000 0.000
Pb1 0.500 0.500 0.000
Pb2 0.500 0.500 0.332
Pb3 0.500 0.500 0.668
Pb4 0.500 0.000 0.163
Pb5 0.500 0.000 0.500
Pb6 0.500 0.000 0.837
Pb7 0.000 0.500 0.163
Pb8 0.000 0.500 0.500
Pb9 0.000 0.500 0.837

***

2.
Compound: Rb2PrHg
Source: the Alexandria database
Functional: PBE
Structure: relaxed

**Volume**: 44.9 A^3/atom
**Total magnetization**: 0.0000 μB/atom
**Space group**: R-3m
**Formation enthalpy at 0 K**: 0.260 eV per atom
**N(E_F)**: 0.66 states/eV per atom

a b c (Å): 3.897 3.897 13.831
angles (deg): 81.90 81.90 60.00
Element x y z (fractional)
Pr1 0.000 0.000 0.000
Hg1 0.500 0.500 0.500
Rb1 0.095 0.095 0.716
Rb2 0.905 0.905 0.284

***

3.
Compound: KSbI3
Source: the Alexandria database
Functional: PBE
Structure: relaxed

**Volume**: 51.9 A^3/atom
**Total magnetization**: 0.2000 μB/atom
**Space group**: Pm-3m
**E above lowest polymorph**: 904 meV/atom
**Uncorrected formation energy**: 0.1944 eV per atom
**N(E_F)**: 1.09 states/eV per atom

a b c (Å): 6.377 6.377 6.377
angles (deg): 90.00 90.00 90.00
Element x y z (fractional)
I1 0.000 0.500 0.000
I2 0.000 0.000 0.500
I3 0.500 0.000 0.000
Sb1 0.500 0.500 0.500
K1 0.000 0.000 0.000

***

4.
Compound: Zr2MnCo
Source: the Alexandria database
Functional: PBE
Structure: relaxed

**Volume**: 17.0 A^3/atom
**Total magnetization**: 0.6906 μB/atom
**Space group**: Imm2
**Formation enthalpy at 0 K**: -0.046 eV per atom
**N(E_F)**: 1.13 states/eV per atom

a b c (Å): 5.691 5.691 5.691
angles (deg): 147.76 135.77 55.79
Element x y z (fractional)
Co1 0.473 0.473 0.000
Mn1 0.283 0.783 0.500
Zr1 0.009 0.009 0.000
Zr2 0.735 0.235 0.500

***

5.
Compound: RbCd2NiGe
Source: the Alexandria database
Functional: PBE
Structure: relaxed

**Volume**: 25.2 A^3/atom
**Total magnetization**: 0.0000 μB/atom
**Space group**: P4/mmm
**Formation enthalpy at 0 K**: -0.007 eV per atom
**N(E_F)**: 0.56 states/eV per atom

a b c (Å): 5.213 5.213 4.632
angles (deg): 90.00 90.00 90.00
Element x y z (fractional)
Ni1 0.000 0.000 0.000
Ge1 0.000 0.000 0.500
Rb1 0.500 0.500 0.500
Cd1 0.000 0.500 0.000
Cd2 0.500 0.000 0.000

***

6.
Compound: Zr5P3
Source: the Alexandria database
Functional: PBE
Structure: relaxed

**Volume**: 18.0 A^3/atom
**Total magnetization**: 0.0000 μB/atom
**Space group**: C2/m
**E above lowest polymorph**: 70 meV/atom
**Formation enthalpy at 0 K**: -1.038 eV per atom
**N(E_F)**: 0.71 states/eV per atom

a b c (Å): 7.811 7.810 7.774
angles (deg): 96.54 96.54 139.87
Element x y z (fractional)
P1 0.750 0.750 0.000
P2 0.249 0.250 0.000
P3 0.338 0.162 0.500
P4 0.661 0.838 0.500
P5 0.160 0.661 0.823
P6 0.839 0.340 0.177
Zr1 0.249 0.749 0.498
Zr2 0.751 0.251 0.502
Zr3 0.789 0.080 0.866
Zr4 0.210 0.920 0.134
Zr5 0.704 0.571 0.290
Zr6 0.295 0.429 0.710
Zr7 0.580 0.290 0.866
Zr8 0.419 0.710 0.134
Zr9 0.070 0.204 0.290
Zr10 0.929 0.795 0.710

***

7.
Compound: Zr2ScBe2
Source: the Alexandria database
Functional: PBE
Structure: relaxed

**Volume**: 17.6 A^3/atom
**Total magnetization**: 0.0000 μB/atom
**Space group**: P4/mbm
**Formation enthalpy at 0 K**: -0.019 eV per atom
**N(E_F)**: 1.11 states/eV per atom

a b c (Å): 7.298 7.298 3.306
angles (deg): 90.00 90.00 90.00
Element x y z (fractional)
Sc1 0.000 0.000 0.000
Sc2 0.500 0.500 0.000
Be1 0.389 0.889 0.000
Be2 0.889 0.611 0.000
Be3 0.611 0.111 0.000
Be4 0.111 0.389 0.000
Zr1 0.177 0.677 0.500
Zr2 0.677 0.823 0.500
Zr3 0.823 0.323 0.500
Zr4 0.323 0.177 0.500

***

8.
Compound: KCa2LaRh
Source: the Alexandria database
Functional: PBE
Structure: relaxed

**Volume**: 38.1 A^3/atom
**Total magnetization**: 0.0000 μB/atom
**Space group**: P4/mmm
**Formation enthalpy at 0 K**: -0.212 eV per atom
**N(E_F)**: 0.72 states/eV per atom

a b c (Å): 5.901 5.901 5.473
angles (deg): 90.00 90.00 90.00
Element x y z (fractional)
Ca1 0.000 0.500 0.000
Ca2 0.500 0.000 0.000
Rh1 0.000 0.000 0.000
K1 0.500 0.500 0.500
La1 0.000 0.000 0.500

***

9.
Compound: Mg2GaPb
Source: the Alexandria database
Functional: PBE
Structure: relaxed

**Volume**: 25.1 A^3/atom
**Total magnetization**: 0.0000 μB/atom
**Space group**: I-42d
**Formation enthalpy at 0 K**: 0.111 eV per atom
**N(E_F)**: 0.54 states/eV per atom

a b c (Å): 8.028 8.028 6.476
angles (deg): 51.69 51.69 90.00
Element x y z (fractional)
Pb1 0.000 0.000 0.000
Pb2 0.750 0.250 0.500
Mg1 0.595 0.125 0.250
Mg2 0.155 0.625 0.250
Mg3 0.375 0.405 0.750
Mg4 0.875 0.845 0.750
Ga1 0.500 0.500 0.000
Ga2 0.250 0.750 0.500

***

10.
Compound: YTaBe2F
Source: the Alexandria database
Functional: PBE
Structure: relaxed

**Volume**: 17.6 A^3/atom
**Total magnetization**: 0.0000 μB/atom
**Space group**: P4/mmm
**Uncorrected formation energy**: -0.1050 eV per atom
**N(E_F)**: 0.86 states/eV per atom

a b c (Å): 4.629 4.096 4.629
angles (deg): 90.00 90.00 90.00
Element x y z (fractional)
Y1 0.500 0.500 0.500
Be1 0.000 0.000 0.500
Be2 0.500 0.000 0.000
F1 0.000 0.500 0.000
Ta1 0.000 0.000 0.000

***

11.
Compound: HgPb2Au
Source: the Alexandria database
Functional: PBE
Structure: relaxed

**Volume**: 27.3 A^3/atom
**Total magnetization**: 0.0000 μB/atom
**Space group**: P2_1/m
**E above lowest polymorph**: 0 meV/atom
**Formation enthalpy at 0 K**: -0.038 eV per atom
**N(E_F)**: 0.43 states/eV per atom

a b c (Å): 3.711 6.395 9.216
angles (deg): 90.00 90.00 90.21
Element x y z (fractional)
Hg1 0.247 0.145 0.250
Hg2 0.753 0.855 0.750
Pb1 0.252 0.738 0.046
Pb2 0.748 0.262 0.954
Pb3 0.748 0.262 0.546
Pb4 0.252 0.738 0.454
Au1 0.750 0.514 0.250
Au2 0.250 0.486 0.750

***

12.
Compound: BaCaLaEu
Source: the Alexandria database
Functional: PBE
Structure: relaxed

**Volume**: 45.0 A^3/atom
**Total magnetization**: 1.9439 μB/atom
**Space group**: F-43m
**Formation enthalpy at 0 K**: 0.123 eV per atom
**N(E_F)**: 3.37 states/eV per atom

a b c (Å): 6.338 6.338 6.338
angles (deg): 60.00 60.00 60.00
Element x y z (fractional)
Eu1 0.750 0.750 0.750
Ca1 0.250 0.250 0.250
Ba1 0.500 0.500 0.500
La1 0.000 0.000 0.000